# NiOsRhO6

An optimized crystal structure of NiOsRhO6 (PBE with a Hubbard U, Alexandria via LeMat-Bulk).

CIF file:
```
data_NiOsRhO6
_space_group_name_H-M_alt 'P -3 1 c'
_space_group_IT_number 163
_space_group_name_Hall '-P 3 2c'
_cell_length_a 5.0194
_cell_length_b 5.0194
_cell_length_c 9.0171
_cell_angle_alpha 90.00
_cell_angle_beta 90.00
_cell_angle_gamma 120.00
loop_
_atom_site_label
_atom_site_type_symbol
_atom_site_fract_x
_atom_site_fract_y
_atom_site_fract_z
Ni1 Ni 0.0000 0.0000 0.0000
Os1 Os 0.3333 0.6667 0.2500
Rh1 Rh 0.3333 0.6667 0.7500
O1 O 0.0146 0.3525 0.1281
```

final energy: -6.492 eV per atom
N(E_F): 3.4 states/eV/f.u.
calculated density: 7.56 g/cm³